Compound: SnHS2N
Source: the Alexandria database
Functional: PBE
Structure: optimized geometry

Output
**Energy above the most stable polymorph in this dataset**: 0.0 meV per atom
**Total magnetic moment**: 0.0 μB/f.u.

POSCAR file:
```
SnHS2N
1.0
3.414 0.000 0.000
0.000 3.414 0.000
0.000 0.000 7.014
Sn H S N
1 1 2 1
Direct
0.000 0.000 0.000
0.500 0.500 0.500
0.000 0.500 0.500
0.500 0.000 0.500
0.500 0.500 0.000
```



Compound: In3MoC
Source: the Alexandria database
Functional: PBE
Structure: optimized geometry

Output
**Energy above the most stable polymorph in this dataset**: 0.0 meV per atom
**Formation energy from the elements**: 1.320 eV/atom
**Total magnetic moment**: 3.0 μB/f.u.

POSCAR file:
```
In3MoC
1.0
4.646 0.000 0.000
0.000 4.646 0.000
0.000 0.000 4.646
In Mo C
3 1 1
Direct
0.000 0.000 0.500
0.000 0.500 0.000
0.500 0.000 0.000
0.500 0.500 0.500
0.000 0.000 0.000
```



The records above give, respectively, DOS at the Fermi energy values of 0.382 0.842 states/eV per atom.